A relaxed NaLi3N crystal. Source: Alexandria via LeMat-Bulk, functional GGA-PBE.

The structure belongs to space group Pm-3m (No. 221); the cell edges are 4.575, 4.575 and 4.575 Å and the angles 90.00°, 90.00° and 90.00°. The asymmetric unit holds Na at (0.000, 0.000, 0.000), Li at (0.000, 0.000, 0.500) and N at (0.500, 0.500, 0.500).


A relaxed Zr3AlSn crystal. Source: Alexandria via LeMat-Bulk, functional GGA-PBE.

As for the calculated formation energy: 27 kJ/mol of atoms.

The structure belongs to space group Pm-3m (No. 221); the cell edges are 4.995, 4.995 and 4.995 Å and the angles 90.00°, 90.00° and 90.00°. The asymmetric unit holds Zr at (0.000, 0.000, 0.500), Al at (0.000, 0.000, 0.000) and Sn at (0.500, 0.500, 0.500).


The following E values (in eV/atom) correspond, in order, to the records above: -1.753; -6.395.
The following energy relative to the lowest polymorph listed for this composition values (in meV/atom) correspond, in order, to the records above: 1470; 367.